A relaxed Mn2AlIr crystal. Source: the Alexandria database, functional PBE-GGA.

The calculation puts the density of states at the Fermi level at 7.92 states/eV/cell. Its total energy is -63.743 eV/cell. The value obtained for the energy of formation is -0.23 eV per atom.

abc: 8.688 2.748 4.536
angles: 90.00 102.71 90.00
Space group Cm (No. 8)
Symmetry-distinct sites (fractional):
Mn (0.000, 0.000, 0.000) x2
Mn (0.250, 0.000, 0.770) x2
Al (0.498, 0.000, 0.508) x2
Ir (0.248, 0.500, 0.258) x2